DFT (PBE) results for a relaxed TaTiNbW crystal.

Summary:
Spin magnetization: 0.001 μB/atom
Distance to the lowest polymorph of the same formula: 0 meV per atom
Calculated formation energy: -0.020 eV per atom

The structure in CIF format:
```
data_TaTiNbW
_cell_length_a 6.509
_cell_length_b 6.509
_cell_length_c 6.509
_cell_angle_alpha 90.00
_cell_angle_beta 90.00
_cell_angle_gamma 90.00
_symmetry_space_group_name_H-M 'F -4 3 m'
_symmetry_Int_Tables_number 216
_symmetry_space_group_name_Hall 'F -4 2 3'
loop_
_atom_site_label
_atom_site_type_symbol
_atom_site_fract_x
_atom_site_fract_y
_atom_site_fract_z
Ta1 Ta 0.000 0.000 0.000
Ti1 Ti 0.250 0.250 0.750
Nb1 Nb 0.000 0.000 0.500
W1 W 0.250 0.250 0.250
```

---

DFT (PBE) results for a relaxed LuMnHgPd crystal.

Summary:
Spin magnetization: 1.037 μB/atom
Calculated formation energy: -0.310 eV per atom

The structure in CIF format:
```
data_LuMnHgPd
_cell_length_a 6.775
_cell_length_b 6.775
_cell_length_c 6.775
_cell_angle_alpha 90.00
_cell_angle_beta 90.00
_cell_angle_gamma 90.00
_symmetry_space_group_name_H-M 'F -4 3 m'
_symmetry_Int_Tables_number 216
_symmetry_space_group_name_Hall 'F -4 2 3'
loop_
_atom_site_label
_atom_site_type_symbol
_atom_site_fract_x
_atom_site_fract_y
_atom_site_fract_z
Lu1 Lu 0.000 0.000 0.000
Mn1 Mn 0.000 0.000 0.500
Hg1 Hg 0.250 0.250 0.250
Pd1 Pd 0.250 0.250 0.750
```

---

> Which value of spin magnetization does entry 1 give?

0.001 μB/atom

---

> Which of these has the highest spin magnetization?

LuMnHgPd

---

> What is the formula in the first record?

TaTiNbW